No. 1
Compound: Y3Hg2Pd2
Source: Alexandria
Functional: PBE-GGA
Structure: optimized geometry

Symmetry = Cmmm, No. 65
V = 23.60 Å³/atom
DFT formation energy = -693 meV/atom

a = 3.9739 Å, b = 3.6962 Å, c = 11.4208 Å
α = 90.00°, β = 79.98°, γ = 90.00°
Closest atoms and distances in Å follow each position.
Sites, in units of the cell vectors:
Y 0.0000 0.0000 0.0000  8 Hg 3.25
Y 0.1671 0.0000 0.6657  4 Pd 2.88
Y 0.8329 0.0000 0.3343  4 Pd 2.88
Hg 0.5793 0.5000 0.8414  1 Pd 2.93, 4 Y 3.25
Hg 0.4207 0.5000 0.1586  1 Pd 2.93, 4 Y 3.25
Pd 0.2903 0.5000 0.4194  2 Pd 2.69, 4 Y 2.88, 1 Hg 2.93
Pd 0.7097 0.5000 0.5806  2 Pd 2.69, 4 Y 2.88, 1 Hg 2.93

---

No. 2
Compound: YHg2Pd6
Source: Alexandria
Functional: PBE-GGA
Structure: optimized geometry

Symmetry = C2/m, No. 12
V = 17.66 Å³/atom
DFT formation energy = -403 meV/atom

a = 4.2371 Å, b = 5.0198 Å, c = 8.7572 Å
α = 71.62°, β = 76.00°, γ = 65.04°
Closest atoms and distances in Å follow each position.
Sites, in units of the cell vectors:
Pd 0.0136 0.8103 0.1624  3 Hg 2.82-2.92, 8 Pd 2.87-2.96, 1 Y 2.87
Pd 0.3426 0.2618 0.0530  9 Pd 2.74-3.01, 3 Hg 2.79-2.86
Pd 0.3433 0.9312 0.3823  5 Pd 2.84-3.08, 3 Y 2.90-2.99, 4 Hg 2.90-3.02
Pd 0.6567 0.0688 0.6177  5 Pd 2.84-3.08, 3 Y 2.90-2.99, 4 Hg 2.90-3.02
Pd 0.9864 0.1897 0.8376  3 Hg 2.82-2.92, 8 Pd 2.87-2.96, 1 Y 2.87
Pd 0.6574 0.7382 0.9470  9 Pd 2.74-3.01, 3 Hg 2.79-2.86
Hg 0.3106 0.6383 0.7405  10 Pd 2.79-3.02, 2 Y 3.11
Hg 0.6894 0.3617 0.2595  10 Pd 2.79-3.02, 2 Y 3.11
Y 0.0000 0.5000 0.5000  8 Pd 2.87-2.99, 4 Hg 3.11

---

No. 3
Compound: Y2HgPd
Source: Alexandria
Functional: PBE-GGA
Structure: optimized geometry

Symmetry = R3m, No. 160
V = 26.92 Å³/atom
DFT formation energy = -541 meV/atom

a = 4.0389 Å, b = 4.0389 Å, c = 7.9701 Å
α = 75.32°, β = 75.32°, γ = 60.00°
Closest atoms and distances in Å follow each position.
Sites, in units of the cell vectors:
Pd 0.6654 0.6654 0.0039  6 Y 2.83-2.87
Y 0.0720 0.0720 0.7839  3 Pd 2.87, 3 Hg 3.19
Y 0.2618 0.2618 0.2146  3 Pd 2.83
Hg 0.5008 0.5008 0.4976  6 Y 3.18-3.19

---

In order of appearance, density of states at the Fermi level = 3.5; 3.5; 4.0 states/eV per cell.